Material: Re2SbSe
Method: DFT, PBE
State: optimized geometry

Properties
The value obtained for the formation energy (no corrections) is 2.99 eV per formula unit. The symmetry is Imm2, No. 44.

a = 5.5744 Å, b = 5.5744 Å, c = 5.5744 Å
α = 147.16°, β = 132.87°, γ = 58.63°
Closest atoms and distances in Å follow each position.
Fractional positions:
Re (0.0000, 0.0000, 0.0000)  4 Se 2.74, 2 Sb 2.96, 2 Re 3.02
Re (0.7353, 0.2353, 0.5000)  2 Se 2.57, 4 Sb 2.74
Sb (0.2575, 0.7575, 0.5000)  6 Re 2.74-2.96, 2 Se 3.05
Se (0.5260, 0.5260, 0.0000)  6 Re 2.57-2.74

=====

Material: Ce6Ge2As3Se
Method: DFT, PBE
State: optimized geometry

Properties
The value obtained for the formation energy (no corrections) is -15.07 eV per formula unit. The symmetry is C2/m, No. 12.

a = 9.4441 Å, b = 9.4441 Å, c = 8.4468 Å
α = 102.94°, β = 102.94°, γ = 25.86°
Closest atoms and distances in Å follow each position.
Fractional positions:
Ce (0.9999, 0.9999, 0.2469)  3 As 2.97, 1 Ge 2.98, 2 Se 3.01
Ce (0.0001, 0.0001, 0.7531)  3 As 2.97, 1 Ge 2.98, 2 Se 3.01
Ce (0.3325, 0.3325, 0.4168)  3 As 2.98-2.99, 2 Ge 2.99, 1 Se 3.00
Ce (0.3336, 0.3336, 0.9162)  3 As 2.98-2.99, 3 Ge 3.00
Ce (0.6664, 0.6664, 0.0838)  3 As 2.98-2.99, 3 Ge 3.00
Ce (0.6675, 0.6675, 0.5832)  3 As 2.98-2.99, 2 Ge 2.99, 1 Se 3.00
Ge (0.1663, 0.1663, 0.8322)  6 Ce 2.98-3.00
Ge (0.8337, 0.8337, 0.1678)  6 Ce 2.98-3.00
As (0.1658, 0.1658, 0.3335)  6 Ce 2.97-2.99
As (0.5000, 0.5000, 0.0000)  6 Ce 2.97-2.98
As (0.8342, 0.8342, 0.6665)  6 Ce 2.97-2.99
Se (0.5000, 0.5000, 0.5000)  6 Ce 3.00-3.01

=====

Material: Tb6Pm2Tm3Sc
Method: DFT, PBE
State: optimized geometry

Properties
The symmetry is C2/m, No. 12.

a = 6.1148 Å, b = 6.1148 Å, c = 11.7125 Å
α = 94.98°, β = 94.98°, γ = 119.98°
Closest atoms and distances in Å follow each position.
Fractional positions:
Tb (0.0837, 0.4141, 0.7515)  6 Tb 3.50-3.55, 3 Tm 3.51-3.53, 1 Sc 3.54, 2 Pm 3.55
Tb (0.2468, 0.2468, 0.2482)  6 Tb 3.50-3.55, 3 Tm 3.51-3.52, 1 Sc 3.54, 2 Pm 3.55
Tb (0.4141, 0.0837, 0.7515)  6 Tb 3.50-3.55, 3 Tm 3.51-3.53, 1 Sc 3.54, 2 Pm 3.55
Tb (0.5859, 0.9163, 0.2485)  6 Tb 3.50-3.55, 3 Tm 3.51-3.53, 1 Sc 3.54, 2 Pm 3.55
Tb (0.7532, 0.7532, 0.7518)  6 Tb 3.50-3.55, 3 Tm 3.51-3.52, 1 Sc 3.54, 2 Pm 3.55
Tb (0.9163, 0.5859, 0.2485)  6 Tb 3.50-3.55, 3 Tm 3.51-3.53, 1 Sc 3.54, 2 Pm 3.55
Pm (0.3335, 0.6665, 0.5000)  3 Pm 3.53, 3 Sc 3.53, 6 Tb 3.55
Pm (0.6665, 0.3335, 0.5000)  3 Pm 3.53, 3 Sc 3.53, 6 Tb 3.55
Tm (0.1662, 0.8338, 0.0000)  6 Tb 3.51-3.53, 6 Tm 3.52-3.54
Tm (0.5000, 0.5000, 0.0000)  6 Tb 3.51-3.52, 6 Tm 3.53-3.54
Tm (0.8338, 0.1662, 0.0000)  6 Tb 3.51-3.53, 6 Tm 3.52-3.54
Sc (0.0000, 0.0000, 0.5000)  6 Pm 3.53, 6 Tb 3.54

=====

| no. | uncorrected energy (eV per atom) |
| --- | --- |
| 1 | -7.3794 |
| 2 | -6.4453 |
| 3 | -4.7259 |